[1]
## Ca2PrThSe4 (PBE-GGA)

Data for a relaxed structure of Ca2PrThSe4.

a = 7.1851 Å, b = 4.1375 Å, c = 7.5017 Å
α = 90.00°, β = 108.48°, γ = 90.00°
Space group P2/m (No. 10)
Asymmetric unit:
Ca: 0.0000 0.0000 0.0000
Ca: 0.5000 0.5000 0.0000
Pr: 0.0000 0.5000 0.5000
Th: 0.5000 0.0000 0.5000
Se: 0.2496 0.5000 0.2404
Se: 0.2563 0.0000 0.7591

Magnetization (μB/atom): 0.000
Formation energy from raw total energies (eV/atom): -1.799

[2]
## LaYCd2 (PBE-GGA)

Data for a relaxed structure of LaYCd2.

a = 3.9733 Å, b = 3.9733 Å, c = 7.3483 Å
α = 90.00°, β = 90.00°, γ = 90.00°
Space group P4mm (No. 99)
Asymmetric unit:
La: 0.0000 0.0000 0.0000
Y: 0.5000 0.5000 0.3086
Cd: 0.0000 0.0000 0.5228
Cd: 0.5000 0.5000 0.7499

Magnetization (μB/atom): 0.167
Relative energy among the computed polymorphs (eV/atom): 0.163
Calculated formation energy (eV per atom): -0.1716

[3]
## PmSm5Se6 (PBE-GGA)

Data for a relaxed structure of PmSm5Se6.

a = 7.2315 Å, b = 12.5631 Å, c = 7.2223 Å
α = 90.00°, β = 109.63°, γ = 90.00°
Space group C2/m (No. 12)
Asymmetric unit:
Pm: 0.0000 0.0000 0.0000
Sm: 0.0000 0.1656 0.5000
Sm: 0.0000 0.3334 0.0000
Sm: 0.0000 0.5000 0.5000
Se: 0.2489 0.3326 0.7490
Se: 0.2486 0.5000 0.2501

Magnetization (μB/atom): 0.000
Formation energy from raw total energies (eV/atom): -1.822

[4]
## BaRu2Se (PBE-GGA)

Data for a relaxed structure of BaRu2Se.

a = 4.9125 Å, b = 4.9125 Å, c = 17.1858 Å
α = 90.00°, β = 90.00°, γ = 90.00°
Space group I4_1/amd (No. 141, origin choice 2)
Asymmetric unit:
Ba: 0.0000 0.2500 0.3750
Ru: 0.0000 0.0000 0.0000
Se: 0.0000 0.2500 0.8750

Magnetization (μB/atom): 0.000
Formation energy from raw total energies (eV/atom): 0.006

[5]
## Sr2CuBr (PBE-GGA)

Data for a relaxed structure of Sr2CuBr.

a = 8.0665 Å, b = 8.0665 Å, c = 8.0665 Å
α = 90.00°, β = 90.00°, γ = 90.00°
Space group F-43m (No. 216)
Asymmetric unit:
Sr: 0.0000 0.0000 0.0000
Sr: 0.2500 0.2500 0.2500
Cu: 0.2500 0.2500 0.7500
Br: 0.0000 0.0000 0.5000

Magnetization (μB/atom): 0.000
Formation energy from raw total energies (eV/atom): -0.026
Relative energy among the computed polymorphs (eV/atom): 0.739

[6]
## K2TeOs (PBE-GGA)

Data for a relaxed structure of K2TeOs.

a = 13.2948 Å, b = 13.2948 Å, c = 4.9688 Å
α = 90.00°, β = 90.00°, γ = 90.00°
Space group I-42d (No. 122)
Asymmetric unit:
K: 0.0015 0.7500 0.1250
Te: 0.0000 0.0000 0.0000
Os: 0.0000 0.0000 0.5000

Magnetization (μB/atom): 0.299
Formation energy from raw total energies (eV/atom): 0.566

no.,energy (eV for the cell shown),N(E_F) (states/eV/f.u.)
1,-44.54,4.2
2,-13.91,4.1
3,-142.24,5.0
4,-95.74,4.5
5,-36.95,0.9
6,-57.21,3.6